(1)
GGA-PBE Tb5Ir2O12, relaxed; electronic total energy = -150.10 eV/f.u.; DOS(E_F) = 0.3458 states/eV/atom
1.0
-4.539 3.868 1.020
0.884 -4.942 4.735
4.793 5.172 1.716
O Tb Ir
12 5 2
Direct
0.903 0.303 0.573
0.001 0.002 0.825
0.566 0.666 0.914
0.434 0.334 0.086
0.097 0.697 0.427
0.499 0.999 0.184
0.600 0.697 0.427
0.999 0.998 0.175
0.900 0.334 0.086
0.501 0.001 0.816
0.100 0.666 0.914
0.400 0.303 0.573
0.694 0.387 0.833
0.306 0.613 0.167
0.300 0.601 0.639
0.000 0.000 0.500
0.700 0.399 0.361
0.248 0.000 0.000
0.752 0.000 0.000



(2)
GGA-PBE TbTl2Ir3O12, relaxed; electronic total energy = -112.51 eV/f.u.; DOS(E_F) = 0.6623 states/eV/atom
1.0
6.586 -0.440 -0.312
2.870 5.944 -0.312
2.870 1.671 5.713
O Tl Tb Ir
12 2 1 3
Direct
0.139 0.139 0.595
0.405 0.861 0.861
0.281 0.281 0.887
0.719 0.719 0.113
0.861 0.861 0.405
0.595 0.139 0.139
0.113 0.719 0.719
0.887 0.281 0.281
0.719 0.113 0.719
0.139 0.595 0.139
0.281 0.887 0.281
0.861 0.405 0.861
0.612 0.612 0.612
0.388 0.388 0.388
0.000 0.000 0.000
0.500 0.000 0.000
0.000 0.500 0.000
0.000 0.000 0.500



(3)
GGA-PBE TbTmIrO6, relaxed; electronic total energy = -67.82 eV/f.u.; DOS(E_F) = 0.3714 states/eV/atom
1.0
5.441 0.000 0.000
-2.721 4.712 0.000
0.000 0.000 9.650
O Ir Tm Tb
12 2 2 2
Direct
0.368 0.331 0.364
0.331 0.963 0.636
0.963 0.331 0.136
0.331 0.368 0.864
0.037 0.669 0.864
0.669 0.037 0.364
0.368 0.037 0.136
0.037 0.368 0.636
0.669 0.632 0.136
0.963 0.632 0.364
0.632 0.963 0.864
0.632 0.669 0.636
0.333 0.667 0.750
0.667 0.333 0.250
0.667 0.333 0.750
0.333 0.667 0.250
0.000 0.000 0.000
0.000 0.000 0.500